1.
Computed, not measured: crystalline SrFeRe at its relaxed geometry at the PBE level of DFT.

Values from the calculation:
V = 68.58 Å³/cell
E above lowest polymorph = 0 meV/atom
energy = -0.255 Ha/atom
DFT formation energy = 0.594 eV per atom

a b c (Å): 3.9354 3.9354 5.1129
angles (deg): 90.00 90.00 120.00
Last column: nearest neighbours and their distance in Å.
Fractional positions:
Re1 0.3333 0.6667 0.1665  3 Fe 2.27
Sr1 0.6667 0.3333 0.6667  6 Re 3.42, 6 Fe 3.42
Fe1 0.0000 0.0000 0.1668  3 Re 2.27

---

2.
Computed, not measured: crystalline La2ReTc at its relaxed geometry at the PBE level of DFT.

Values from the calculation:
V = 91.59 Å³/cell
E above lowest polymorph = 639 meV/atom
energy = -0.271 Ha/atom
DFT formation energy = 0.787 eV per atom

a b c (Å): 9.1700 9.1700 9.1700
angles (deg): 21.60 21.60 21.60
Last column: nearest neighbours and their distance in Å.
Fractional positions:
Re1 0.2500 0.2500 0.2500  6 La 3.00
Tc1 0.7500 0.7500 0.7500  6 La 2.98
La1 0.0004 0.0004 0.0004  3 Tc 2.98, 3 Re 3.00
La2 0.4996 0.4996 0.4996  3 Tc 2.98, 3 Re 3.00

---

3.
Computed, not measured: crystalline HfSc2Mn at its relaxed geometry at the PBE level of DFT.

Values from the calculation:
V = 76.58 Å³/cell
E above lowest polymorph = 288 meV/atom
energy = -0.277 Ha/atom
DFT formation energy = 0.402 eV per atom

a b c (Å): 4.7666 4.7666 4.7666
angles (deg): 60.00 60.00 60.00
Last column: nearest neighbours and their distance in Å.
Fractional positions:
Sc1 0.2500 0.2500 0.2500  4 Hf 2.92, 4 Mn 2.92
Sc2 0.7500 0.7500 0.7500  4 Mn 2.92, 4 Hf 2.92
Mn1 0.0000 0.0000 0.0000  8 Sc 2.92
Hf1 0.5000 0.5000 0.5000  8 Sc 2.92

---

4.
Computed, not measured: crystalline BaOsW2 at its relaxed geometry at the PBE level of DFT.

Values from the calculation:
V = 81.96 Å³/cell
E above lowest polymorph = 150 meV/atom
energy = -0.324 Ha/atom
DFT formation energy = 0.943 eV per atom

a b c (Å): 2.9294 2.9289 9.5521
angles (deg): 90.00 90.00 89.99
Last column: nearest neighbours and their distance in Å.
Fractional positions:
Ba1 0.5000 0.5000 0.2500  4 Ba 2.93
Os1 0.5000 0.5000 0.7500  8 W 2.73, 4 Os 2.93
W1 0.0000 0.0000 0.5641  4 Os 2.73, 4 W 2.93
W2 0.0000 0.0000 0.9359  4 Os 2.73, 4 W 2.93

---

5.
Computed, not measured: crystalline AlCoAg2 at its relaxed geometry at the PBE level of DFT.

Values from the calculation:
V = 60.92 Å³/cell
energy = -0.146 Ha/atom
DFT formation energy = 0.157 eV per atom

a b c (Å): 4.8222 4.8222 4.8222
angles (deg): 131.88 131.88 70.43
Last column: nearest neighbours and their distance in Å.
Fractional positions:
Ag1 0.5000 0.5000 0.0000  4 Ag 2.78, 4 Al 2.78, 4 Co 2.78
Ag2 0.0000 0.0000 0.0000  4 Ag 2.78, 4 Co 2.78, 4 Al 2.78
Al1 0.2500 0.7500 0.5000  4 Co 2.78, 8 Ag 2.78
Co1 0.7500 0.2500 0.5000  4 Al 2.78, 8 Ag 2.78

---

6.
Computed, not measured: crystalline SrGe2Ir at its relaxed geometry at the PBE level of DFT.

Values from the calculation:
V = 76.51 Å³/cell
energy = -0.185 Ha/atom
DFT formation energy = -0.092 eV per atom

a b c (Å): 4.7651 4.7651 4.7651
angles (deg): 60.00 60.00 60.00
Last column: nearest neighbours and their distance in Å.
Fractional positions:
Ge1 0.2500 0.2500 0.2500  4 Ir 2.92, 4 Sr 2.92
Ge2 0.7500 0.7500 0.7500  4 Ir 2.92, 4 Sr 2.92
Sr1 0.0000 0.0000 0.0000  8 Ge 2.92
Ir1 0.5000 0.5000 0.5000  8 Ge 2.92

---

7.
Computed, not measured: crystalline Li2TlRu at its relaxed geometry at the PBE level of DFT.

Values from the calculation:
V = 65.94 Å³/cell
energy = -0.135 Ha/atom
DFT formation energy = 0.204 eV per atom

a b c (Å): 4.3837 2.8021 5.5158
angles (deg): 76.73 90.00 90.00
Last column: nearest neighbours and their distance in Å.
Fractional positions:
Ru1 0.0000 0.4676 0.4862  7 Li 2.75-3.06, 2 Ru 2.80, 4 Tl 2.88-3.03
Li1 0.5000 0.1717 0.2541  4 Li 2.61-2.80, 1 Tl 2.67, 2 Ru 2.76
Li2 0.0000 0.0683 0.0147  4 Li 2.61-2.80, 2 Ru 2.75-2.87, 2 Tl 2.85
Tl1 0.5000 0.7924 0.7450  4 Li 2.67-2.94, 2 Tl 2.80, 2 Ru 2.88

---

8.
Computed, not measured: crystalline Pr12P3H5 at its relaxed geometry at the PBE level of DFT.

Values from the calculation:
V = 1938.36 Å³/cell
energy = -0.185 Ha/atom

a b c (Å): 13.6046 13.6046 13.6046
angles (deg): 109.47 109.47 109.47
Last column: nearest neighbours and their distance in Å.
Fractional positions:
P1 0.2500 0.6250 0.8750  8 Pr 3.02-3.08
P2 0.1250 0.2500 0.8750  8 Pr 3.02-3.08
P3 0.1250 0.8750 0.7500  8 Pr 3.02-3.08
P4 0.2500 0.1250 0.3750  8 Pr 3.02-3.08
P5 0.3750 0.7500 0.6250  8 Pr 3.02-3.08
P6 0.3750 0.6250 0.2500  8 Pr 3.02-3.08
P7 0.8750 0.1250 0.2500  8 Pr 3.02-3.08
P8 0.8750 0.7500 0.1250  8 Pr 3.02-3.08
P9 0.7500 0.8750 0.6250  8 Pr 3.02-3.08
P10 0.6250 0.2500 0.3750  8 Pr 3.02-3.08
P11 0.7500 0.3750 0.1250  8 Pr 3.02-3.08
P12 0.6250 0.3750 0.7500  8 Pr 3.02-3.08
Pr1 0.8795 0.2818 0.4710  1 H 2.29
Pr2 0.7182 0.5977 0.1892  1 H 2.29
Pr3 0.4085 0.0290 0.3108  1 H 2.29
Pr4 0.7818 0.3108 0.9023  1 H 2.29
Pr5 0.8108 0.9023 0.2818  1 H 2.29
Pr6 0.0977 0.9085 0.3795  1 H 2.29
Pr7 0.4023 0.2818 0.3108  1 H 2.29
Pr8 0.0290 0.4085 0.8108  1 H 2.29
Pr9 0.2182 0.6892 0.0977  1 H 2.29
Pr10 0.3108 0.7818 0.4023  1 H 2.29
Pr11 0.1892 0.0977 0.7182  1 H 2.29
Pr12 0.9023 0.8108 0.7818  1 H 2.29
Pr13 0.0977 0.1892 0.2182  1 H 2.29
Pr14 0.8795 0.5977 0.9085  1 H 2.29
Pr15 0.4710 0.7818 0.8795  1 H 2.29
Pr16 0.9710 0.5915 0.1892  1 H 2.29
Pr17 0.0290 0.6205 0.7182  1 H 2.29
Pr18 0.2182 0.5290 0.6205  1 H 2.29
Pr19 0.8108 0.9085 0.0290  1 H 2.29
Pr20 0.1892 0.0915 0.9710  1 H 2.29
Pr21 0.1205 0.4023 0.0915  1 H 2.29
Pr22 0.0915 0.9023 0.1205  1 H 2.29
Pr23 0.5915 0.6205 0.4023  1 H 2.29
Pr24 0.1205 0.7182 0.5290  1 H 2.29
Pr25 0.3108 0.5290 0.4085  1 H 2.29
Pr26 0.2818 0.8795 0.9710  1 H 2.29
Pr27 0.0915 0.1892 0.4710  1 H 2.29
Pr28 0.6205 0.5915 0.9023  1 H 2.29
Pr29 0.7818 0.4710 0.3795  1 H 2.29
Pr30 0.5977 0.8795 0.4085  1 H 2.29
Pr31 0.5290 0.3108 0.9085  1 H 2.29
Pr32 0.4085 0.3795 0.5977  1 H 2.29
Pr33 0.5977 0.7182 0.6892  1 H 2.29
Pr34 0.6892 0.2182 0.5977  1 H 2.29
Pr35 0.2818 0.4023 0.8108  1 H 2.29
Pr36 0.9710 0.3795 0.2818  1 H 2.29
Pr37 0.3795 0.9710 0.7818  1 H 2.29
Pr38 0.6205 0.0290 0.2182  1 H 2.29
Pr39 0.7182 0.1205 0.0290  1 H 2.29
Pr40 0.6892 0.4710 0.5915  1 H 2.29
Pr41 0.5290 0.2182 0.1205  1 H 2.29
Pr42 0.9085 0.0977 0.8795  1 H 2.29
Pr43 0.9023 0.0915 0.6205  1 H 2.29
Pr44 0.3795 0.4085 0.0977  1 H 2.29
Pr45 0.9085 0.8108 0.5290  1 H 2.29
Pr46 0.4023 0.1205 0.5915  1 H 2.29
Pr47 0.4710 0.6892 0.0915  1 H 2.29
Pr48 0.5915 0.9710 0.6892  1 H 2.29
H1 0.1250 0.3750 0.2500  4 Pr 2.29
H2 0.7500 0.6250 0.3750  4 Pr 2.29
H3 0.5000 0.5000 0.0000  6 Pr 2.68
H4 0.3750 0.1250 0.7500  4 Pr 2.29
H5 0.5000 0.0000 0.0000  6 Pr 2.68
H6 0.8750 0.6250 0.7500  4 Pr 2.29
H7 0.2500 0.3750 0.6250  4 Pr 2.29
H8 0.0000 0.5000 0.5000  6 Pr 2.68
H9 0.0000 0.0000 0.5000  6 Pr 2.68
H10 0.1250 0.7500 0.3750  4 Pr 2.29
H11 0.0000 0.5000 0.0000  6 Pr 2.68
H12 0.0000 0.0000 0.0000  6 Pr 2.68
H13 0.6250 0.8750 0.2500  4 Pr 2.29
H14 0.2500 0.8750 0.1250  4 Pr 2.29
H15 0.5000 0.0000 0.5000  6 Pr 2.68
H16 0.3750 0.2500 0.1250  4 Pr 2.29
H17 0.6250 0.7500 0.8750  4 Pr 2.29
H18 0.5000 0.5000 0.5000  6 Pr 2.68
H19 0.8750 0.2500 0.6250  4 Pr 2.29
H20 0.7500 0.1250 0.8750  4 Pr 2.29

---

9.
Computed, not measured: crystalline SmBiPd2 at its relaxed geometry at the PBE level of DFT.

Values from the calculation:
V = 89.51 Å³/cell
E above lowest polymorph = 143 meV/atom
energy = -0.196 Ha/atom
DFT formation energy = -0.584 eV per atom

a b c (Å): 3.7099 3.7099 6.5039
angles (deg): 90.00 90.00 90.00
Last column: nearest neighbours and their distance in Å.
Fractional positions:
Bi1 0.5000 0.5000 0.5000  8 Pd 3.14, 2 Sm 3.25
Pd1 0.0000 0.0000 0.7661  4 Sm 3.03, 1 Pd 3.04, 4 Bi 3.14
Pd2 0.0000 0.0000 0.2339  4 Sm 3.03, 1 Pd 3.04, 4 Bi 3.14
Sm1 0.5000 0.5000 0.0000  8 Pd 3.03, 2 Bi 3.25

---

10.
Computed, not measured: crystalline TmThFePd at its relaxed geometry at the PBE level of DFT.

Values from the calculation:
V = 84.90 Å³/cell
energy = -0.246 Ha/atom
DFT formation energy = -0.319 eV per atom

a b c (Å): 4.9333 4.9333 4.9333
angles (deg): 60.00 60.00 60.00
Last column: nearest neighbours and their distance in Å.
Fractional positions:
Th1 0.2500 0.2500 0.2500  4 Pd 3.02, 4 Fe 3.02
Pd1 0.0000 0.0000 0.0000  4 Th 3.02, 4 Tm 3.02
Tm1 0.7500 0.7500 0.7500  4 Fe 3.02, 4 Pd 3.02
Fe1 0.5000 0.5000 0.5000  4 Th 3.02, 4 Tm 3.02